Record 1
Computed, not measured: an optimized crystal structure of Al2In2Sb at the PBE-GGA level of DFT.

Unit cell a=4.2696 b=4.2696 c=7.3458 alpha=73.11 beta=73.11 gamma=90.00
With the nearest neighbours (Å) after each atom.
Fractional coordinates of all 5 atoms:
In  0.7500  0.2500  0.5000  4 Al 2.97, 4 In 3.02
Al  0.4044  0.4044  0.1913  1 Al 2.56
Al  0.5956  0.5956  0.8087  1 Al 2.56
Sb  0.0000  0.0000  0.0000  8 Al 3.28
In  0.2500  0.7500  0.5000  4 Al 2.97, 4 In 3.02

Summary:
DOS at the Fermi energy   2.46 states/eV per cell
Energy above the most stable polymorph in this dataset   108 meV per atom
Crystal system   tetragonal
Calculated total energy   -3.1672 eV per atom
M_tot   0.00 Bohr magnetons per cell
Energy relative to the elements, uncorrected   120.5 kJ/mol of formula units

Record 2
Computed, not measured: an optimized crystal structure of Al2InSb2 at the PBE-GGA level of DFT.

Unit cell a=5.2111 b=5.2111 c=6.1229 alpha=64.81 beta=64.81 gamma=90.00
With the nearest neighbours (Å) after each atom.
Fractional coordinates of all 5 atoms:
Al  0.3674  0.3674  0.2652  1 Al 2.59, 4 Sb 2.85
Sb  0.2500  0.7500  0.5000  4 Al 2.85
In  0.0000  0.0000  0.0000  8 Sb 3.57, 10 Al 3.59-3.91
Al  0.6326  0.6326  0.7348  1 Al 2.59, 4 Sb 2.85
Sb  0.7500  0.2500  0.5000  4 Al 2.85

Summary:
DOS at the Fermi energy   1.89 states/eV per cell
Energy above the most stable polymorph in this dataset   60 meV per atom
Crystal system   tetragonal
Calculated total energy   -3.5901 eV per atom
M_tot   0.00 Bohr magnetons per cell
Energy relative to the elements, uncorrected   50.0 kJ/mol of formula units

Record 3
Computed, not measured: an optimized crystal structure of AlInSb2 at the PBE-GGA level of DFT.

Unit cell a=9.9436 b=9.9436 c=9.9436 alpha=20.63 beta=20.63 gamma=20.63
With the nearest neighbours (Å) after each atom.
Fractional coordinates of all 4 atoms:
Sb  0.9845  0.9845  0.9845  3 Al 2.85
In  0.7500  0.7500  0.7500  6 Sb 3.54, 6 In 3.56
Al  0.2500  0.2500  0.2500  6 Sb 2.85
Sb  0.5155  0.5155  0.5155  3 Al 2.85

Summary:
DOS at the Fermi energy   1.69 states/eV per cell
Energy above the most stable polymorph in this dataset   280 meV per atom
Crystal system   trigonal
Calculated total energy   -3.5432 eV per atom
M_tot   0.00 Bohr magnetons per cell
Energy relative to the elements, uncorrected   53.4 kJ/mol of formula units